Record 1
# Ta2ReSe

A relaxed Ta2ReSe crystal (PBE, the Alexandria database).

Summary:
Its space-group type is R-3m (166). The density of states at the Fermi level comes out at 2.12 states/eV/cell. The total moment comes out at 0.0 Bohr magnetons per cell. The calculation puts the formation energy from raw total energies at 0.057 eV/atom. The raw total energy comes out at -39.41 eV for the cell shown.

Cell and atoms, written as POSCAR:
```
Ta2ReSe
1.0
1.623 0.937 7.852
-1.623 0.937 7.852
0.000 -1.874 7.852
Ta Re Se
2 1 1
Cartesian
0.000 0.000 5.821
0.000 0.000 17.734
0.000 0.000 11.778
0.000 0.000 0.000
```


Record 2
# TaReSe2

A relaxed TaReSe2 crystal (PBE, the Alexandria database).

Summary:
Its space-group type is P2/m (10). The distance to the lowest polymorph of the same formula comes out at 0.742 eV per atom. The density of states at the Fermi level comes out at 3.10 states/eV/cell. The total moment comes out at 0.0 Bohr magnetons per cell. The calculation puts the formation energy from raw total energies at 0.532 eV/atom. The raw total energy comes out at -29.14 eV for the cell shown.

Cell and atoms, written as POSCAR:
```
TaReSe2
1.0
3.998 0.000 0.000
0.000 4.307 0.000
-0.633 0.000 4.191
Ta Re Se
1 1 2
Cartesian
0.000 0.000 0.000
1.683 0.000 2.095
0.573 2.154 3.097
2.792 2.154 1.093
```


Record 3
# Ta2ReSe

A relaxed Ta2ReSe crystal (PBE, the Alexandria database).

Summary:
Its space-group type is Pm (6). The density of states at the Fermi level comes out at 2.23 states/eV/cell. The total moment comes out at 0.0 Bohr magnetons per cell. The calculation puts the formation energy from raw total energies at 0.050 eV/atom. The raw total energy comes out at -39.44 eV for the cell shown.

Cell and atoms, written as POSCAR:
```
Ta2ReSe
1.0
3.057 0.000 0.000
0.000 4.529 0.000
-1.260 0.000 4.939
Ta Re Se
2 1 1
Cartesian
0.000 0.000 0.000
-0.229 2.264 3.441
1.814 2.264 0.932
1.534 0.000 2.315
```


Record 4
# TaRe2Se6

A relaxed TaRe2Se6 crystal (PBE, the Alexandria database).

Summary:
Its space-group type is C2/m (12). The density of states at the Fermi level comes out at 3.17 states/eV/cell. The total moment comes out at 1.1 Bohr magnetons per cell. The calculation puts the formation energy from raw total energies at -0.386 eV/atom. The raw total energy comes out at -61.13 eV for the cell shown.

Cell and atoms, written as POSCAR:
```
TaRe2Se6
1.0
6.912 -1.759 0.000
6.912 1.759 0.000
-5.462 0.000 8.816
Ta Re Se
1 2 6
Cartesian
0.000 0.000 0.000
0.850 0.000 5.517
7.512 0.000 3.299
-1.107 0.000 2.326
2.374 0.000 3.615
-0.272 0.000 7.979
8.634 0.000 0.837
5.988 0.000 5.202
9.469 0.000 6.490
```


Record 5
# TaReSe2

A relaxed TaReSe2 crystal (PBE, the Alexandria database).

Summary:
Its space-group type is P4mm (99). The distance to the lowest polymorph of the same formula comes out at 0.235 eV per atom. The density of states at the Fermi level comes out at 3.09 states/eV/cell. The total moment comes out at 0.0 Bohr magnetons per cell. The calculation puts the formation energy from raw total energies at 0.025 eV/atom. The raw total energy comes out at -31.17 eV for the cell shown.

Cell and atoms, written as POSCAR:
```
TaReSe2
1.0
3.449 0.000 0.000
0.000 3.449 0.000
0.000 0.000 7.213
Ta Re Se
1 1 2
Cartesian
0.000 0.000 0.000
1.725 1.725 1.183
0.000 0.000 2.604
1.725 1.725 5.824
```


Record 6
# Ta2ReSe

A relaxed Ta2ReSe crystal (PBE, the Alexandria database).

Summary:
Its space-group type is F-43m (216). The density of states at the Fermi level comes out at 2.48 states/eV/cell. The total moment comes out at 0.0 Bohr magnetons per cell. The calculation puts the formation energy from raw total energies at 0.433 eV/atom. The raw total energy comes out at -37.90 eV for the cell shown.

Cell and atoms, written as POSCAR:
```
Ta2ReSe
1.0
0.000 3.234 3.234
3.234 0.000 3.234
3.234 3.234 0.000
Ta Re Se
2 1 1
Cartesian
0.000 0.000 0.000
1.617 1.617 1.617
4.851 4.851 4.851
3.234 3.234 3.234
```